Model w:
Density functional theory data (GGA-PBE) for crystalline LiZrH3 at its relaxed geometry.

Unit cell a=3.396 b=3.396 c=3.396 alpha=90.00 beta=90.00 gamma=90.00
Fractional coordinates of all 5 atoms:
Li  0.000  0.000  0.000
Zr  0.500  0.500  0.500
H  0.000  0.000  0.500
H  0.000  0.500  0.000
H  0.500  0.000  0.000

Calculated values
DOS(E_F) ... 0.511 states/eV/atom
Crystal system ... cubic
Symmetry ... Pm-3m, No. 221
ρ ... 4.3 g/cm3


Model x:
Density functional theory data (GGA-PBE) for crystalline LiZrH3 at its relaxed geometry.

Unit cell a=5.907 b=4.317 c=6.924 alpha=90.00 beta=107.00 gamma=90.00
Fractional coordinates of all 20 atoms:
Li  0.123  0.242  0.030
Li  0.123  0.258  0.530
Li  0.877  0.742  0.470
Li  0.877  0.758  0.970
Zr  0.330  0.746  0.333
Zr  0.330  0.754  0.833
Zr  0.670  0.246  0.167
Zr  0.670  0.254  0.667
H  0.002  0.504  0.279
H  0.002  0.996  0.779
H  0.181  0.663  0.045
H  0.181  0.837  0.545
H  0.431  0.249  0.858
H  0.431  0.251  0.358
H  0.569  0.749  0.642
H  0.569  0.751  0.142
H  0.819  0.163  0.455
H  0.819  0.337  0.955
H  0.998  0.004  0.221
H  0.998  0.496  0.721

Calculated values
DOS(E_F) ... 0.189 states/eV/atom
Crystal system ... monoclinic
Symmetry ... P2_1/c, No. 14
ρ ... 4.0 g/cm3


Model y:
Density functional theory data (GGA-PBE) for crystalline LiZrH3 at its relaxed geometry.

Unit cell a=3.886 b=3.886 c=3.886 alpha=90.00 beta=90.00 gamma=90.00
Fractional coordinates of all 5 atoms:
Li  0.000  0.000  0.000
Zr  0.500  0.500  0.500
H  0.000  0.500  0.500
H  0.500  0.000  0.500
H  0.500  0.500  0.000

Calculated values
DOS(E_F) ... 0.384 states/eV/atom
Crystal system ... cubic
Symmetry ... Pm-3m, No. 221
ρ ... 2.9 g/cm3


Which one sits at the top of the stability order? model x does.


Model w:
Density functional theory data (GGA-PBE) for crystalline LuMgH at its relaxed geometry.

Unit cell a=3.476 b=3.476 c=5.590 alpha=90.00 beta=90.00 gamma=120.00
Fractional coordinates of all 3 atoms:
Lu  0.000  0.000  0.000
Mg  0.333  0.667  0.507
H  0.667  0.333  0.088

Calculated values
DOS(E_F) ... 0.774 states/eV/atom
Crystal system ... trigonal
Symmetry ... P3m1, No. 156
ρ ... 5.7 g/cm3


Model x:
Density functional theory data (GGA-PBE) for crystalline LuMgH at its relaxed geometry.

Unit cell a=10.960 b=10.960 c=10.960 alpha=163.17 beta=163.17 gamma=23.89
Fractional coordinates of all 6 atoms:
Lu  0.190  0.190  0.000
Lu  0.810  0.810  0.000
Mg  0.429  0.429  0.000
Mg  0.571  0.571  0.000
H  0.291  0.291  0.000
H  0.709  0.709  0.000

Calculated values
DOS(E_F) ... 0.601 states/eV/atom
Crystal system ... tetragonal
Symmetry ... I4/mmm, No. 139
ρ ... 6.0 g/cm3


Which one sits at the top of the stability order? model x does.


Model w:
Density functional theory data (GGA-PBE) for crystalline LuH3O3 at its relaxed geometry.

Unit cell a=7.103 b=7.103 c=7.103 alpha=109.66 beta=109.66 gamma=109.66
Fractional coordinates of all 28 atoms:
Lu  0.000  0.000  0.000
Lu  0.000  0.500  0.500
Lu  0.500  0.000  0.500
Lu  0.500  0.500  0.000
H  0.049  0.220  0.669
H  0.144  0.457  0.186
H  0.186  0.144  0.457
H  0.220  0.669  0.049
H  0.331  0.951  0.780
H  0.457  0.186  0.144
H  0.543  0.814  0.856
H  0.669  0.049  0.220
H  0.780  0.331  0.951
H  0.814  0.856  0.543
H  0.856  0.543  0.814
H  0.951  0.780  0.331
O  0.020  0.336  0.186
O  0.173  0.341  0.670
O  0.186  0.020  0.336
O  0.330  0.827  0.659
O  0.336  0.186  0.020
O  0.341  0.670  0.173
O  0.659  0.330  0.827
O  0.664  0.814  0.980
O  0.670  0.173  0.341
O  0.814  0.980  0.664
O  0.827  0.659  0.330
O  0.980  0.664  0.814

Calculated values
DOS(E_F) ... 0.000 states/eV/atom
Crystal system ... trigonal
Symmetry ... R-3, No. 148
ρ ... 5.5 g/cm3


Model x:
Density functional theory data (GGA-PBE) for crystalline LuH3O3 at its relaxed geometry.

Unit cell a=6.995 b=7.038 c=7.153 alpha=110.63 beta=108.56 gamma=107.88
Fractional coordinates of all 28 atoms:
Lu  0.000  0.000  0.000
Lu  0.026  0.532  0.496
Lu  0.531  0.022  0.514
Lu  0.566  0.559  0.049
H  0.069  0.847  0.355
H  0.073  0.225  0.731
H  0.198  0.070  0.706
H  0.296  0.347  0.415
H  0.375  0.887  0.038
H  0.408  0.562  0.717
H  0.503  0.165  0.166
H  0.567  0.901  0.829
H  0.662  0.485  0.676
H  0.706  0.239  0.045
H  0.745  0.712  0.542
H  0.868  0.095  0.417
O  0.153  0.330  0.306
O  0.192  0.196  0.829
O  0.192  0.859  0.493
O  0.356  0.660  0.805
O  0.374  0.022  0.148
O  0.531  0.370  0.671
O  0.554  0.737  0.336
O  0.691  0.030  0.841
O  0.696  0.352  0.172
O  0.861  0.699  0.660
O  0.874  0.224  0.538
O  0.880  0.816  0.139

Calculated values
DOS(E_F) ... 0.000 states/eV/atom
Crystal system ... triclinic
Symmetry ... P1, No. 1
ρ ... 5.5 g/cm3


Model y:
Density functional theory data (GGA-PBE) for crystalline LuH3O3 at its relaxed geometry.

Unit cell a=6.266 b=6.266 c=3.418 alpha=90.00 beta=90.00 gamma=120.00
Fractional coordinates of all 14 atoms:
Lu  0.333  0.667  0.250
Lu  0.667  0.333  0.750
H  0.135  0.854  0.750
H  0.146  0.281  0.750
H  0.281  0.135  0.250
H  0.719  0.865  0.750
H  0.854  0.719  0.250
H  0.865  0.146  0.250
O  0.088  0.400  0.750
O  0.311  0.912  0.750
O  0.400  0.311  0.250
O  0.600  0.689  0.750
O  0.689  0.088  0.250
O  0.912  0.600  0.250

Calculated values
DOS(E_F) ... 0.000 states/eV/atom
Crystal system ... hexagonal
Symmetry ... P6_3/m, No. 176
ρ ... 6.5 g/cm3


Which one sits at the top of the stability order? model w does.


Model w:
Density functional theory data (GGA-PBE) for crystalline Lu2HOs at its relaxed geometry.

Unit cell a=3.225 b=3.225 c=6.959 alpha=90.00 beta=90.00 gamma=90.00
Fractional coordinates of all 4 atoms:
Lu  0.000  0.000  0.240
Lu  0.000  0.000  0.760
H  0.500  0.500  0.500
Os  0.500  0.500  0.000

Calculated values
DOS(E_F) ... 0.459 states/eV/atom
Crystal system ... tetragonal
Symmetry ... P4/mmm, No. 123
ρ ... 12.4 g/cm3


Model x:
Density functional theory data (GGA-PBE) for crystalline Lu2HOs at its relaxed geometry.

Unit cell a=7.143 b=7.143 c=7.143 alpha=27.71 beta=27.71 gamma=27.71
Fractional coordinates of all 4 atoms:
Lu  0.238  0.238  0.238
Lu  0.762  0.762  0.762
H  0.500  0.500  0.500
Os  0.000  0.000  0.000

Calculated values
DOS(E_F) ... 0.627 states/eV/atom
Crystal system ... trigonal
Symmetry ... R-3m, No. 166
ρ ... 12.9 g/cm3


Which one sits at the top of the stability order? model w does.


Model w:
Density functional theory data (GGA-PBE) for crystalline Lu2PaH at its relaxed geometry.

Unit cell a=3.191 b=3.191 c=8.285 alpha=90.00 beta=90.00 gamma=90.00
Fractional coordinates of all 4 atoms:
Lu  0.000  0.000  0.196
Lu  0.000  0.000  0.804
Pa  0.500  0.500  0.500
H  0.500  0.500  0.000

Calculated values
DOS(E_F) ... 1.356 states/eV/atom
Crystal system ... tetragonal
Symmetry ... P4/mmm, No. 123
ρ ... 11.5 g/cm3


Model x:
Density functional theory data (GGA-PBE) for crystalline Lu2PaH at its relaxed geometry.

Unit cell a=9.288 b=9.288 c=9.288 alpha=20.16 beta=20.16 gamma=20.16
Fractional coordinates of all 4 atoms:
Lu  0.117  0.117  0.117
Lu  0.883  0.883  0.883
Pa  0.000  0.000  0.000
H  0.500  0.500  0.500

Calculated values
DOS(E_F) ... 1.132 states/eV/atom
Crystal system ... trigonal
Symmetry ... R-3m, No. 166
ρ ... 11.6 g/cm3


Which one sits at the top of the stability order? model x does.


Model w:
Density functional theory data (GGA-PBE) for crystalline LuHPt at its relaxed geometry.

Unit cell a=3.924 b=3.924 c=3.440 alpha=90.00 beta=90.00 gamma=120.00
Fractional coordinates of all 3 atoms:
Lu  0.000  0.000  0.000
H  0.333  0.667  0.497
Pt  0.667  0.333  0.500

Calculated values
DOS(E_F) ... 0.307 states/eV/atom
Crystal system ... trigonal
Symmetry ... P3m1, No. 156
ρ ... 13.4 g/cm3


Model x:
Density functional theory data (GGA-PBE) for crystalline LuHPt at its relaxed geometry.

Unit cell a=4.465 b=4.465 c=5.666 alpha=105.71 beta=105.71 gamma=66.09
Fractional coordinates of all 6 atoms:
Lu  0.125  0.125  0.298
Lu  0.875  0.875  0.702
H  0.385  0.385  0.641
H  0.615  0.615  0.359
Pt  0.264  0.264  0.857
Pt  0.736  0.736  0.143

Calculated values
DOS(E_F) ... 0.192 states/eV/atom
Crystal system ... monoclinic
Symmetry ... C2/m, No. 12
ρ ... 12.6 g/cm3


Which one sits at the top of the stability order? model x does.


Model w:
Density functional theory data (GGA-PBE) for crystalline LuPuH at its relaxed geometry.

Unit cell a=3.416 b=3.416 c=5.674 alpha=90.00 beta=90.00 gamma=120.00
Fractional coordinates of all 3 atoms:
Lu  0.000  0.000  0.000
Pu  0.667  0.333  0.504
H  0.333  0.667  0.765

Calculated values
DOS(E_F) ... 2.753 states/eV/atom
Crystal system ... trigonal
Symmetry ... P3m1, No. 156
ρ ... 12.2 g/cm3


Model x:
Density functional theory data (GGA-PBE) for crystalline LuPuH at its relaxed geometry.

Unit cell a=6.190 b=6.190 c=6.190 alpha=150.75 beta=150.75 gamma=41.85
Fractional coordinates of all 3 atoms:
Lu  0.000  0.000  0.000
Pu  0.272  0.272  0.000
H  0.630  0.630  0.000

Calculated values
DOS(E_F) ... 2.015 states/eV/atom
Crystal system ... tetragonal
Symmetry ... I4mm, No. 107
ρ ... 12.3 g/cm3


Which one sits at the top of the stability order? model w does.


Model w:
Density functional theory data (GGA-PBE) for crystalline LuHRh2 at its relaxed geometry.

Unit cell a=7.612 b=7.612 c=7.612 alpha=22.44 beta=22.44 gamma=22.44
Fractional coordinates of all 4 atoms:
Lu  0.000  0.000  0.000
H  0.500  0.500  0.500
Rh  0.115  0.115  0.115
Rh  0.885  0.885  0.885

Calculated values
DOS(E_F) ... 1.418 states/eV/atom
Crystal system ... trigonal
Symmetry ... R-3m, No. 166
ρ ... 11.3 g/cm3


Model x:
Density functional theory data (GGA-PBE) for crystalline LuHRh2 at its relaxed geometry.

Unit cell a=3.086 b=3.086 c=5.982 alpha=90.00 beta=90.00 gamma=90.00
Fractional coordinates of all 4 atoms:
Lu  0.000  0.000  0.000
H  0.000  0.000  0.500
Rh  0.500  0.500  0.290
Rh  0.500  0.500  0.710

Calculated values
DOS(E_F) ... 0.347 states/eV/atom
Crystal system ... tetragonal
Symmetry ... P4/mmm, No. 123
ρ ... 11.1 g/cm3


Which one sits at the top of the stability order? model x does.


Model w:
Density functional theory data (GGA-PBE) for crystalline Tb2LuH at its relaxed geometry.

Unit cell a=8.653 b=8.653 c=8.653 alpha=23.95 beta=23.95 gamma=23.95
Fractional coordinates of all 4 atoms:
Tb  0.222  0.222  0.222
Tb  0.778  0.778  0.778
Lu  0.000  0.000  0.000
H  0.500  0.500  0.500

Calculated values
DOS(E_F) ... 0.765 states/eV/atom
Crystal system ... trigonal
Symmetry ... R-3m, No. 166
ρ ... 8.7 g/cm3


Model x:
Density functional theory data (GGA-PBE) for crystalline Tb2LuH at its relaxed geometry.

Unit cell a=3.336 b=3.336 c=8.372 alpha=90.00 beta=90.00 gamma=90.00
Fractional coordinates of all 4 atoms:
Tb  0.000  0.000  0.194
Tb  0.000  0.000  0.806
Lu  0.500  0.500  0.500
H  0.500  0.500  0.000

Calculated values
DOS(E_F) ... 0.966 states/eV/atom
Crystal system ... tetragonal
Symmetry ... P4/mmm, No. 123
ρ ... 8.8 g/cm3


Which one sits at the top of the stability order? model w does.


Model w:
Density functional theory data (GGA-PBE) for crystalline Lu2ThH at its relaxed geometry.

Unit cell a=9.533 b=9.533 c=9.533 alpha=20.52 beta=20.52 gamma=20.52
Fractional coordinates of all 4 atoms:
Lu  0.120  0.120  0.120
Lu  0.880  0.880  0.880
Th  0.000  0.000  0.000
H  0.500  0.500  0.500

Calculated values
DOS(E_F) ... 0.998 states/eV/atom
Crystal system ... trigonal
Symmetry ... R-3m, No. 166
ρ ... 10.4 g/cm3


Model x:
Density functional theory data (GGA-PBE) for crystalline Lu2ThH at its relaxed geometry.

Unit cell a=3.362 b=3.362 c=8.308 alpha=90.00 beta=90.00 gamma=90.00
Fractional coordinates of all 4 atoms:
Lu  0.000  0.000  0.198
Lu  0.000  0.000  0.802
Th  0.500  0.500  0.500
H  0.500  0.500  0.000

Calculated values
DOS(E_F) ... 0.978 states/eV/atom
Crystal system ... tetragonal
Symmetry ... P4/mmm, No. 123
ρ ... 10.3 g/cm3


Which one sits at the top of the stability order? model w does.


Model w:
Density functional theory data (GGA-PBE) for crystalline LuTlH at its relaxed geometry.

Unit cell a=3.534 b=3.534 c=5.251 alpha=90.00 beta=90.00 gamma=120.00
Fractional coordinates of all 3 atoms:
Lu  0.000  0.000  0.000
Tl  0.667  0.333  0.500
H  0.333  0.667  0.000

Calculated values
DOS(E_F) ... 0.179 states/eV/atom
Crystal system ... hexagonal
Symmetry ... P-6m2, No. 187
ρ ... 11.1 g/cm3


Model x:
Density functional theory data (GGA-PBE) for crystalline LuTlH at its relaxed geometry.

Unit cell a=6.198 b=6.198 c=6.198 alpha=150.24 beta=150.24 gamma=42.59
Fractional coordinates of all 3 atoms:
Lu  0.000  0.000  0.000
Tl  0.270  0.270  0.000
H  0.534  0.534  0.000

Calculated values
DOS(E_F) ... 0.610 states/eV/atom
Crystal system ... tetragonal
Symmetry ... I4mm, No. 107
ρ ... 10.8 g/cm3


Which one sits at the top of the stability order? model w does.


Model w:
Density functional theory data (GGA-PBE) for crystalline Lu2ZrH at its relaxed geometry.

Unit cell a=9.121 b=9.121 c=9.121 alpha=20.69 beta=20.69 gamma=20.69
Fractional coordinates of all 4 atoms:
Lu  0.117  0.117  0.117
Lu  0.883  0.883  0.883
Zr  0.000  0.000  0.000
H  0.500  0.500  0.500

Calculated values
DOS(E_F) ... 1.084 states/eV/atom
Crystal system ... trigonal
Symmetry ... R-3m, No. 166
ρ ... 8.9 g/cm3


Model x:
Density functional theory data (GGA-PBE) for crystalline Lu2ZrH at its relaxed geometry.

Unit cell a=3.207 b=3.207 c=7.937 alpha=90.00 beta=90.00 gamma=90.00
Fractional coordinates of all 4 atoms:
Lu  0.000  0.000  0.204
Lu  0.000  0.000  0.796
Zr  0.500  0.500  0.500
H  0.500  0.500  0.000

Calculated values
DOS(E_F) ... 1.304 states/eV/atom
Crystal system ... tetragonal
Symmetry ... P4/mmm, No. 123
ρ ... 9.0 g/cm3


Which one sits at the top of the stability order? model w does.